BaY2O4: optimized geometry, PBE-GGA.

a b c (Å): 3.466 11.425 11.518
angles (deg): 90.00 90.00 90.00
Space group Cmcm (No. 63)
Symmetry-distinct sites (fractional):
Ba (0.000, 0.112, 0.250)
Y (0.000, 0.366, 0.071)
O (0.000, 0.000, 0.000)
O (0.000, 0.261, 0.602)
O (0.000, 0.439, 0.250)

Summary:
V = 16.287 A^3/atom
ΔE_f (raw) = -3.2188 eV/atom
ρ = 5.52 Mg/m³
total DFT energy (no corrections) = -8.17 eV/atom

---

BaYO: optimized geometry, PBE-GGA.

a b c (Å): 26.032 4.074 7.998
angles (deg): 90.00 91.01 90.00
Space group C2/m (No. 12)
Symmetry-distinct sites (fractional):
Ba (0.070, 0.000, 0.364)
Ba (0.078, 0.500, 0.865)
Y (0.210, 0.000, 0.121)
Y (0.212, 0.000, 0.624)
O (0.249, 0.000, 0.374)
O (0.249, 0.500, 0.123)

Summary:
V = 35.341 A^3/atom
ΔE_f (raw) = -1.8716 eV/atom
ρ = 3.79 Mg/m³
total DFT energy (no corrections) = -6.32 eV/atom

---

Ba3YO: optimized geometry, PBE-GGA.

a b c (Å): 6.280 6.280 6.280
angles (deg): 90.00 90.00 90.00
Space group Pm-3m (No. 221)
Symmetry-distinct sites (fractional):
Ba (0.000, 0.000, 0.500)
Y (0.000, 0.000, 0.000)
O (0.500, 0.500, 0.500)

Summary:
V = 49.540 A^3/atom
ΔE_f (raw) = 0.8249 eV/atom
ρ = 3.47 Mg/m³
total DFT energy (no corrections) = -2.61 eV/atom

---

BaY2O4: optimized geometry, PBE-GGA.

a b c (Å): 10.518 3.490 12.242
angles (deg): 90.00 90.00 90.00
Space group Pnma (No. 62)
Symmetry-distinct sites (fractional):
Ba (0.247, 0.250, 0.149)
Y (0.074, 0.250, 0.389)
Y (0.078, 0.250, 0.891)
O (0.019, 0.750, 0.783)
O (0.071, 0.250, 0.574)
O (0.116, 0.750, 0.018)
O (0.209, 0.750, 0.341)

Summary:
V = 16.048 A^3/atom
ΔE_f (raw) = -3.2580 eV/atom
ρ = 5.60 Mg/m³
total DFT energy (no corrections) = -8.21 eV/atom

---

Ba3YO: optimized geometry, PBE-GGA.

a b c (Å): 5.696 5.696 5.696
angles (deg): 90.00 90.00 90.00
Space group Pm-3m (No. 221)
Symmetry-distinct sites (fractional):
Ba (0.000, 0.000, 0.500)
Y (0.500, 0.500, 0.500)
O (0.000, 0.000, 0.000)

Summary:
V = 36.963 A^3/atom
ΔE_f (raw) = -0.7330 eV/atom
ρ = 4.64 Mg/m³
total DFT energy (no corrections) = -4.17 eV/atom

---

Ba3Y5O12: optimized geometry, PBE-GGA.

a b c (Å): 14.402 14.402 14.402
angles (deg): 90.00 90.00 90.00
Space group Ia-3d (No. 230)
Symmetry-distinct sites (fractional):
Ba (0.000, 0.250, 0.125)
Y (0.000, 0.000, 0.000)
Y (0.000, 0.250, 0.375)
O (0.030, 0.052, 0.647)

Summary:
V = 18.670 A^3/atom
ΔE_f (raw) = -2.7947 eV/atom
ρ = 4.66 Mg/m³
total DFT energy (no corrections) = -7.67 eV/atom

---

The lowest ρ belongs to which entry?
number 3